The following is a DFT calculation (GGA-PBE) of a geometry-optimized Rb3Th3SnSe8 structure.

## Properties
Energy relative to the elements, uncorrected, kJ/mol of atoms: -139.0

abc: 8.6926 8.6931 9.4844
angles: 117.30 90.00 120.00
Last column: nearest neighbours and their distance in Å.
Atoms (fractional coordinates):
1 Se 0.2383 0.4766 0.6972  2 Th 2.93, 1 Sn 3.04
2 Se 0.7210 0.9592 0.6972  2 Th 2.93, 1 Sn 3.04
3 Se 0.2382 0.9592 0.6972  2 Th 2.93, 1 Sn 3.04
4 Se 0.7340 0.4681 0.7018  3 Th 2.99
5 Se 0.2660 0.5319 0.2982  3 Th 2.99
6 Se 0.7618 0.0408 0.3028  2 Th 2.93, 1 Sn 3.04
7 Se 0.2790 0.0408 0.3028  2 Th 2.93, 1 Sn 3.04
8 Se 0.7617 0.5234 0.3028  2 Th 2.93, 1 Sn 3.04
9 Th 0.5000 0.0000 0.5000  6 Se 2.93-2.99
10 Th 0.0000 0.5000 0.5000  6 Se 2.93-2.99
11 Th 0.5000 0.5000 0.5000  6 Se 2.93-2.99
12 Sn 0.0000 0.0000 0.5000  6 Se 3.04
13 Rb 0.5000 0.5000 0.0000  6 Se 3.47-3.53
14 Rb 0.0000 0.5000 0.0000  6 Se 3.47-3.53
15 Rb 0.0000 0.0000 0.0000  6 Se 3.47-3.53